(1)
# CaCuNi

An optimized crystal structure of CaCuNi (PBE, Alexandria via LeMat-Bulk).

Structure (extended XYZ):
```
6
Lattice="5.047 0.000 0.000 0.000 4.241 0.000 -1.874 0.000 4.943" Properties=species:S:1:pos:R:3 pbc="T T T"
Ca 0.347 1.060 2.293
Ca 2.825 3.181 2.650
Cu 0.022 3.181 4.734
Cu 3.151 1.060 0.209
Ni -1.310 1.060 4.582
Ni 4.483 3.181 0.362
```

## Properties
* V: 52.91 Å³/f.u.
* energy of formation: -0.079 eV/atom
* uncorrected energy: -24.2 eV per cell

=====

(2)
# Ca2Cu2Ni

An optimized crystal structure of Ca2Cu2Ni (PBE, Alexandria via LeMat-Bulk).

Structure (extended XYZ):
```
10
Lattice="5.524 0.000 0.000 0.000 5.524 0.000 0.000 0.000 7.096" Properties=species:S:1:pos:R:3 pbc="T T T"
Ca 0.000 2.762 1.774
Ca 0.000 2.762 5.322
Ca 2.762 0.000 1.774
Ca 2.762 0.000 5.322
Cu 0.000 0.000 1.158
Cu 0.000 0.000 5.938
Cu 2.762 2.762 2.390
Cu 2.762 2.762 4.706
Ni 0.000 0.000 3.548
Ni 2.762 2.762 0.000
```

## Properties
* V: 108.26 Å³/f.u.
* energy of formation: 0.117 eV/atom
* uncorrected energy: -34.8 eV per cell

=====

(3)
# Ca2Cu2Ni

An optimized crystal structure of Ca2Cu2Ni (PBE, Alexandria via LeMat-Bulk).

Structure (extended XYZ):
```
10
Lattice="3.459 0.000 0.000 0.000 3.459 0.000 0.000 0.000 16.785" Properties=species:S:1:pos:R:3 pbc="T T T"
Ca 0.000 0.000 1.690
Ca 0.000 0.000 15.095
Ca 1.729 1.729 6.702
Ca 1.729 1.729 10.082
Cu 0.000 1.729 4.196
Cu 0.000 1.729 12.589
Cu 1.729 0.000 4.196
Cu 1.729 0.000 12.589
Ni 0.000 0.000 8.392
Ni 1.729 1.729 0.000
```

## Properties
* V: 100.39 Å³/f.u.
* energy of formation: 0.036 eV/atom
* uncorrected energy: -35.6 eV per cell

=====

(4)
# Ca2CuNi

An optimized crystal structure of Ca2CuNi (PBE, Alexandria via LeMat-Bulk).

Structure (extended XYZ):
```
8
Lattice="5.725 0.000 0.000 0.000 4.183 0.000 -2.841 0.000 7.601" Properties=species:S:1:pos:R:3 pbc="T T T"
Ca -0.034 1.046 3.233
Ca 1.417 3.137 0.507
Ca 1.466 1.046 7.093
Ca 2.917 3.137 4.368
Cu -0.084 3.137 5.470
Cu 2.968 1.046 2.130
Ni -1.260 1.046 5.917
Ni 4.144 3.137 1.683
```

## Properties
* V: 90.99 Å³/f.u.
* energy of formation: -0.140 eV/atom
* uncorrected energy: -28.9 eV per cell